Compound: Ho4Zn3Pb
Source: Alexandria via LeMat-Bulk
Functional: PBE
Structure: optimized geometry

Output
Size of the total moment ... 0.0 μB/cell
DFT formation energy ... -0.36 eV/atom

a = 5.097 Å, b = 5.097 Å, c = 7.321 Å
α = 90.00°, β = 90.00°, γ = 90.00°
Positions (direct):
Ho1 0.000 0.500 0.235
Ho2 0.000 0.500 0.765
Ho3 0.500 0.000 0.235
Ho4 0.500 0.000 0.765
Zn1 0.000 0.000 0.000
Zn2 0.000 0.000 0.500
Zn3 0.500 0.500 0.000
Pb1 0.500 0.500 0.500

***

Compound: Ac4TlCu2
Source: Alexandria via LeMat-Bulk
Functional: PBE
Structure: optimized geometry

Output
Size of the total moment ... 0.0 μB/cell
DFT formation energy ... -0.03 eV/atom

a = 9.926 Å, b = 9.926 Å, c = 9.926 Å
α = 31.64°, β = 31.64°, γ = 31.64°
Positions (direct):
Ac1 0.118 0.118 0.118
Ac2 0.293 0.293 0.293
Ac3 0.707 0.707 0.707
Ac4 0.882 0.882 0.882
Tl1 0.500 0.500 0.500
Cu1 0.401 0.401 0.401
Cu2 0.599 0.599 0.599

***

Compound: NdZn11Si
Source: Alexandria via LeMat-Bulk
Functional: PBE
Structure: optimized geometry

Output
Size of the total moment ... 0.0 μB/cell
Formation energy (no corrections) ... -0.13 eV/atom

a = 6.892 Å, b = 6.892 Å, c = 6.778 Å
α = 98.19°, β = 98.19°, γ = 135.32°
Positions (direct):
Nd1 0.000 0.000 0.000
Zn1 0.000 0.357 0.356
Zn2 0.000 0.500 0.000
Zn3 0.000 0.643 0.644
Zn4 0.287 0.505 0.783
Zn5 0.357 0.000 0.356
Zn6 0.495 0.713 0.217
Zn7 0.500 0.000 0.000
Zn8 0.500 0.500 0.500
Zn9 0.505 0.287 0.783
Zn10 0.643 0.000 0.644
Zn11 0.713 0.495 0.217
Si1 0.000 0.000 0.500